No. 1
Density functional theory data (PBE) for Tm3ZrAl8 after structural relaxation.

a b c (Å): 5.4578 5.4578 26.7875
angles (deg): 90.00 90.00 120.00
Last column: nearest neighbours and their distance in Å.
Space group R3m (No. 160, hexagonal axes)
One atom of each set of equivalent atoms:
1 Tm 0.0000 0.0000 0.0000  12 Al 3.20-3.24, 4 Tm 3.35-3.36
2 Tm 0.0000 0.0000 0.1253  12 Al 3.16-3.20, 3 Zr 3.34, 1 Tm 3.36
3 Tm 0.0000 0.0000 0.6244  12 Al 3.20-3.25, 1 Zr 3.34, 3 Tm 3.35
4 Zr 0.0000 0.0000 0.4998  12 Al 3.17-3.20, 4 Tm 3.34
5 Al 0.0000 0.0000 0.3123  6 Al 2.76
6 Al 0.0000 0.0000 0.8125  6 Al 2.70-2.71
7 Al 0.0010 0.5005 0.0638  6 Al 2.71-2.76
8 Al 0.1670 0.3340 0.8944  6 Al 2.70-2.76

E (eV/cell): -173.9
Energy above the lowest structure with this stoichiometry (meV per atom): 0
Fermi-level density of states (states/eV/cell): 21.5
E_form (eV per atom): -0.50


No. 2
Density functional theory data (PBE) for PW2Se after structural relaxation.

a b c (Å): 3.0946 3.0946 6.2647
angles (deg): 90.00 90.00 90.00
Last column: nearest neighbours and their distance in Å.
Space group P4/mmm (No. 123)
One atom of each set of equivalent atoms:
1 P 0.0000 0.0000 0.0000  8 W 2.58
2 W 0.5000 0.5000 0.2176  4 P 2.58, 1 W 2.73, 4 Se 2.81
3 Se 0.0000 0.0000 0.5000  8 W 2.81, 4 Se 3.09, 2 P 3.13

E (eV/cell): -34.2
Energy above the lowest structure with this stoichiometry (meV per atom): 111
Formation energy from raw total energies (eV per atom): 0.141
Fermi-level density of states (states/eV/cell): 2.7


No. 3
Density functional theory data (PBE) for Sr2Zn4Ag3Hg after structural relaxation.

a b c (Å): 4.4917 4.4917 11.3252
angles (deg): 90.00 90.00 90.00
Last column: nearest neighbours and their distance in Å.
Space group P-4m2 (No. 115)
One atom of each set of equivalent atoms:
1 Sr 0.0000 0.5000 0.2456  8 Zn 3.43-3.58, 6 Ag 3.44-3.65, 2 Hg 3.65
2 Zn 0.0000 0.0000 0.0000  4 Ag 2.68
3 Zn 0.0000 0.5000 0.6395  3 Ag 2.61-2.75, 2 Hg 2.75
4 Zn 0.5000 0.5000 0.0000  4 Ag 2.68
5 Ag 0.0000 0.5000 0.8701  5 Zn 2.61-2.68
6 Ag 0.5000 0.5000 0.5000  4 Zn 2.75
7 Hg 0.0000 0.0000 0.5000  4 Zn 2.75

E (eV/cell): -19.5
Fermi-level density of states (states/eV/cell): 5.5
E_form (eV per atom): -0.22


Number 3 is which compound? Sr2Zn4Ag3Hg